(1)
DFT (PBE) results for ScCuPO2 after structural relaxation.

Summary:
space-group type	P4/mmm
energy above the lowest structure with this stoichiometry	0.0	meV per atom

Lattice parameters (Å, degrees): 3.8958 3.8958 5.7657 90.00 90.00 90.00
Sites, in units of the cell vectors:
1 Sc 0.0000 0.0000 0.0000
2 Cu 0.5000 0.5000 0.5000
3 P 0.0000 0.0000 0.5000
4 O 0.0000 0.5000 0.0000
5 O 0.5000 0.0000 0.0000



(2)
DFT (PBE) results for ScCuP2O after structural relaxation.

Summary:
space-group type	P4/mmm
energy above the lowest structure with this stoichiometry	176.4	meV per atom

Lattice parameters (Å, degrees): 5.1318 5.1318 3.7917 90.00 90.00 90.00
Sites, in units of the cell vectors:
1 Sc 0.0000 0.0000 0.0000
2 Cu 0.5000 0.5000 0.5000
3 P 0.0000 0.5000 0.0000
4 P 0.5000 0.0000 0.0000
5 O 0.0000 0.0000 0.5000



(3)
DFT (PBE) results for CuP2SeO after structural relaxation.

Summary:
space-group type	P4/mmm
energy above the lowest structure with this stoichiometry	249.3	meV per atom

Lattice parameters (Å, degrees): 4.8817 4.8817 3.6107 90.00 90.00 90.00
Sites, in units of the cell vectors:
1 Cu 0.0000 0.0000 0.0000
2 P 0.0000 0.5000 0.5000
3 P 0.5000 0.0000 0.5000
4 Se 0.5000 0.5000 0.5000
5 O 0.5000 0.5000 0.0000



(4)
DFT (PBE) results for CuP2SeO after structural relaxation.

Summary:
space-group type	P4/mmm
energy above the lowest structure with this stoichiometry	0.0	meV per atom

Lattice parameters (Å, degrees): 4.6383 4.6383 3.6195 90.00 90.00 90.00
Sites, in units of the cell vectors:
1 Cu 0.0000 0.0000 0.0000
2 P 0.0000 0.5000 0.0000
3 P 0.5000 0.0000 0.0000
4 Se 0.5000 0.5000 0.5000
5 O 0.0000 0.0000 0.5000



(5)
DFT (PBE) results for Sm6Cu8P8O3 after structural relaxation.

Summary:
space-group type	C222
E_tot	-6.01	eV/atom

Lattice parameters (Å, degrees): 13.5371 13.5371 5.5381 90.00 90.00 156.39
Sites, in units of the cell vectors:
1 Sm 0.0000 0.5000 0.7495
2 Sm 0.1864 0.2842 0.2354
3 Sm 0.2842 0.1864 0.7646
4 Sm 0.5000 0.0000 0.2505
5 Sm 0.7158 0.8136 0.7646
6 Sm 0.8136 0.7158 0.2354
7 Cu 0.1521 0.8479 0.0000
8 Cu 0.1529 0.8471 0.5000
9 Cu 0.3450 0.6550 0.5000
10 Cu 0.3470 0.6530 0.0000
11 Cu 0.6530 0.3470 0.0000
12 Cu 0.6550 0.3450 0.5000
13 Cu 0.8471 0.1529 0.5000
14 Cu 0.8479 0.1521 0.0000
15 P 0.0425 0.4548 0.2483
16 P 0.1536 0.3596 0.7432
17 P 0.3596 0.1536 0.2568
18 P 0.4548 0.0425 0.7517
19 P 0.5452 0.9575 0.7517
20 P 0.6404 0.8464 0.2568
21 P 0.8464 0.6404 0.7432
22 P 0.9575 0.5452 0.2483
23 O 0.0000 0.0000 0.0000
24 O 0.0000 0.0000 0.5000
25 O 0.5000 0.5000 0.0000



(6)
DFT (PBE) results for SmCuPO after structural relaxation.

Summary:
space-group type	P4/nmm
E_tot	-6.52	eV/atom

Lattice parameters (Å, degrees): 3.9632 3.9632 8.2073 90.00 90.00 90.00
Sites, in units of the cell vectors:
1 Sm 0.2500 0.2500 0.1433
2 Sm 0.7500 0.7500 0.8567
3 Cu 0.2500 0.7500 0.5000
4 Cu 0.7500 0.2500 0.5000
5 P 0.2500 0.2500 0.6532
6 P 0.7500 0.7500 0.3468
7 O 0.2500 0.7500 0.0000
8 O 0.7500 0.2500 0.0000



(7)
DFT (PBE) results for SmCuP2O8 after structural relaxation.

Summary:
space-group type	P-3m1
E_tot	-7.03	eV/atom

Lattice parameters (Å, degrees): 5.1499 5.1499 6.6190 90.00 90.00 120.00
Sites, in units of the cell vectors:
1 Sm 0.0000 0.0000 0.0000
2 Cu 0.0000 0.0000 0.5000
3 P 0.3333 0.6667 0.2332
4 P 0.6667 0.3333 0.7668
5 O 0.1666 0.3333 0.2967
6 O 0.1666 0.8334 0.2967
7 O 0.3333 0.1666 0.7033
8 O 0.3333 0.6667 0.9993
9 O 0.6667 0.3333 0.0007
10 O 0.6667 0.8334 0.2967
11 O 0.8334 0.1666 0.7033
12 O 0.8334 0.6667 0.7033



(8)
DFT (PBE) results for CuSnP2O8 after structural relaxation.

Summary:
space-group type	R-3
energy above the lowest structure with this stoichiometry	327.8	meV per atom

Lattice parameters (Å, degrees): 7.7557 7.7557 7.7557 35.59 35.59 35.59
Sites, in units of the cell vectors:
1 Cu 0.0000 0.0000 0.0000
2 Sn 0.5000 0.5000 0.5000
3 P 0.2580 0.2580 0.2580
4 P 0.7420 0.7420 0.7420
5 O 0.0279 0.4003 0.7375
6 O 0.1864 0.1864 0.1864
7 O 0.2625 0.9721 0.5997
8 O 0.4003 0.7375 0.0279
9 O 0.5997 0.2625 0.9721
10 O 0.7375 0.0279 0.4003
11 O 0.8136 0.8136 0.8136
12 O 0.9721 0.5997 0.2625



(9)
DFT (PBE) results for CuSnP2O8 after structural relaxation.

Summary:
space-group type	P2_1/m
energy above the lowest structure with this stoichiometry	0.0	meV per atom

Lattice parameters (Å, degrees): 5.0258 6.0969 10.1491 90.00 94.12 90.00
Sites, in units of the cell vectors:
1 Cu 0.1428 0.2500 0.1978
2 Cu 0.8572 0.7500 0.8022
3 Sn 0.4429 0.2500 0.7108
4 Sn 0.5571 0.7500 0.2892
5 P 0.0874 0.7500 0.1017
6 P 0.3922 0.7500 0.5972
7 P 0.6078 0.2500 0.4028
8 P 0.9126 0.2500 0.8983
9 O 0.1094 0.7500 0.9536
10 O 0.2071 0.2500 0.8669
11 O 0.2555 0.5581 0.1733
12 O 0.2555 0.9419 0.1733
13 O 0.2580 0.5444 0.6579
14 O 0.2580 0.9556 0.6579
15 O 0.3047 0.2500 0.3738
16 O 0.3250 0.7500 0.4453
17 O 0.6750 0.2500 0.5547
18 O 0.6953 0.7500 0.6262
19 O 0.7420 0.0444 0.3421
20 O 0.7420 0.4556 0.3421
21 O 0.7445 0.0581 0.8267
22 O 0.7445 0.4419 0.8267
23 O 0.7929 0.7500 0.1331
24 O 0.8906 0.2500 0.0464



(10)
DFT (PBE) results for SrCuP2O8 after structural relaxation.

Summary:
space-group type	R-3
E_tot	-6.54	eV/atom

Lattice parameters (Å, degrees): 7.8839 7.8839 7.8839 35.08 35.08 35.08
Sites, in units of the cell vectors:
1 Sr 0.0000 0.0000 0.0000
2 Cu 0.5000 0.5000 0.5000
3 P 0.2404 0.2404 0.2404
4 P 0.7595 0.7595 0.7595
5 O 0.1009 0.7628 0.4743
6 O 0.2372 0.5257 0.8991
7 O 0.3102 0.3102 0.3102
8 O 0.4743 0.1009 0.7628
9 O 0.5257 0.8991 0.2372
10 O 0.6898 0.6898 0.6898
11 O 0.7628 0.4743 0.1009
12 O 0.8991 0.2372 0.5257



(11)
DFT (PBE) results for SrTiCu4P4O17 after structural relaxation.

Summary:
space-group type	P42_12
E_tot	-6.83	eV/atom

Lattice parameters (Å, degrees): 9.6381 9.6381 7.1381 90.00 90.00 90.00
Sites, in units of the cell vectors:
1 Sr 0.0000 0.0000 0.0000
2 Sr 0.5000 0.5000 0.0000
3 Ti 0.0000 0.5000 0.0176
4 Ti 0.5000 0.0000 0.9824
5 Cu 0.0179 0.2680 0.6011
6 Cu 0.2320 0.5179 0.6011
7 Cu 0.2680 0.0179 0.3989
8 Cu 0.4821 0.7680 0.3989
9 Cu 0.5179 0.2320 0.3989
10 Cu 0.7320 0.9821 0.3989
11 Cu 0.7680 0.4821 0.6011
12 Cu 0.9821 0.7320 0.6011
13 P 0.1862 0.7251 0.2572
14 P 0.2251 0.3138 0.2572
15 P 0.2749 0.8138 0.7428
16 P 0.3138 0.2251 0.7428
17 P 0.6862 0.7749 0.7428
18 P 0.7251 0.1862 0.7428
19 P 0.7749 0.6862 0.2572
20 P 0.8138 0.2749 0.2572
21 O 0.0000 0.5000 0.7773
22 O 0.1005 0.6693 0.0915
23 O 0.1166 0.8439 0.7388
24 O 0.1329 0.6572 0.4458
25 O 0.1561 0.8834 0.2612
26 O 0.1572 0.3671 0.4458
27 O 0.1592 0.1849 0.7640
28 O 0.1693 0.3995 0.0915
29 O 0.1849 0.1592 0.2360
30 O 0.3151 0.6592 0.7640
31 O 0.3307 0.8995 0.9085
32 O 0.3408 0.6849 0.2360
33 O 0.3428 0.8671 0.5542
34 O 0.3439 0.3834 0.7388
35 O 0.3671 0.1572 0.5542
36 O 0.3834 0.3439 0.2612
37 O 0.3995 0.1693 0.9085
38 O 0.5000 0.0000 0.2227
39 O 0.6005 0.8307 0.9085
40 O 0.6166 0.6561 0.2612
41 O 0.6329 0.8428 0.5542
42 O 0.6561 0.6166 0.7388
43 O 0.6572 0.1329 0.5542
44 O 0.6592 0.3151 0.2360
45 O 0.6693 0.1005 0.9085
46 O 0.6849 0.3408 0.7640
47 O 0.8151 0.8408 0.2360
48 O 0.8307 0.6005 0.0915
49 O 0.8408 0.8151 0.7640
50 O 0.8428 0.6329 0.4458
51 O 0.8439 0.1166 0.2612
52 O 0.8671 0.3428 0.4458
53 O 0.8834 0.1561 0.7388
54 O 0.8995 0.3307 0.0915



(12)
DFT (PBE) results for SrZnCuP2O8 after structural relaxation.

Summary:
space-group type	P-1
energy above the lowest structure with this stoichiometry	282.9	meV per atom

Lattice parameters (Å, degrees): 5.9387 8.6419 8.8812 112.45 107.41 94.13
Sites, in units of the cell vectors:
1 Sr 0.1515 0.4521 0.2252
2 Sr 0.8485 0.5479 0.7748
3 Zn 0.2264 0.0397 0.9985
4 Zn 0.7736 0.9603 0.0015
5 Cu 0.2256 0.0653 0.3381
6 Cu 0.7744 0.9347 0.6619
7 P 0.2305 0.2827 0.5784
8 P 0.4745 0.7595 0.0955
9 P 0.5255 0.2405 0.9045
10 P 0.7695 0.7173 0.4216
11 O 0.0090 0.6662 0.4387
12 O 0.0518 0.1391 0.1762
13 O 0.2587 0.6201 0.0438
14 O 0.2996 0.2388 0.7462
15 O 0.3718 0.9700 0.4793
16 O 0.4087 0.2641 0.0444
17 O 0.4226 0.9426 0.1543
18 O 0.4377 0.4010 0.5869
19 O 0.5623 0.5990 0.4131
20 O 0.5774 0.0574 0.8457
21 O 0.5913 0.7359 0.9556
22 O 0.6282 0.0300 0.5207
23 O 0.7004 0.7612 0.2537
24 O 0.7413 0.3799 0.9562
25 O 0.9482 0.8609 0.8238
26 O 0.9910 0.3338 0.5613